Crystalline RbCa2F at its relaxed geometry, computed with PBEsol.

## Properties
Formation energy (no corrections) ... -0.233 eV/atom
Total magnetic moment ... 0.00 Bohr magnetons per cell
Space-group type ... Fm-3m, No. 225
Final energy ... -0.075 Ha/atom

abc: 6.0752 6.0752 6.0752
angles: 60.00 60.00 60.00
Closest atoms and distances in Å follow each position.
Sites, in units of the cell vectors:
Ca: 0.2500 0.2500 0.2500  4 Rb 3.72, 4 F 3.72
Ca: 0.7500 0.7500 0.7500  4 Rb 3.72, 4 F 3.72
Rb: 0.5000 0.5000 0.5000  8 Ca 3.72
F: 0.0000 0.0000 0.0000  8 Ca 3.72